[1]
Entry from the Alexandria database: an optimized crystal structure of P2PdAuCl (PBEsol).

ΔE_f (raw) = 1.08 eV per atom
D(E_F) = 4.373 states/eV/f.u.
SG = No. 123

Cell lengths 4.7081, 4.7081, 4.8786 Å; angles 90.00, 90.00, 90.00 degrees
Sites, in units of the cell vectors:
P1 0.0000 0.5000 0.0000
P2 0.5000 0.0000 0.0000
Au1 0.0000 0.0000 0.0000
Pd1 0.5000 0.5000 0.5000
Cl1 0.0000 0.0000 0.5000

[2]
Entry from the Alexandria database: an optimized crystal structure of RbPAuCl2 (PBEsol).

ΔE_f (raw) = 0.95 eV per atom
D(E_F) = 5.093 states/eV/f.u.
SG = No. 123

Cell lengths 5.8539, 5.8539, 6.1921 Å; angles 90.00, 90.00, 90.00 degrees
Sites, in units of the cell vectors:
P1 0.0000 0.0000 0.5000
Au1 0.5000 0.5000 0.5000
Rb1 0.0000 0.0000 0.0000
Cl1 0.0000 0.5000 0.0000
Cl2 0.5000 0.0000 0.0000

[3]
Entry from the Alexandria database: an optimized crystal structure of P2AuSCl (PBEsol).

ΔE_f (raw) = 1.07 eV per atom
D(E_F) = 6.313 states/eV/f.u.
SG = No. 123

Cell lengths 4.7291, 4.8210, 4.8210 Å; angles 90.00, 90.00, 90.00 degrees
Sites, in units of the cell vectors:
P1 0.0000 0.0000 0.5000
P2 0.0000 0.5000 0.0000
S1 0.5000 0.0000 0.0000
Au1 0.0000 0.0000 0.0000
Cl1 0.5000 0.5000 0.5000